Entry a
First-principles (GGA-PBE) data for an optimized crystal structure of DyEr2Cu4Sn2Ge2, as listed in OQMD via LeMat-Bulk.

The space group is Immm (No. 71) and the conventional cell measures 4.333, 6.701 and 14.431 Å, with angles of 90.00, 90.00 and 90.00 degrees. Symmetry generates all atoms from Dy at (0.000, 0.000, 0.000), Er at (0.000, 0.500, 0.125), Cu at (0.000, 0.310, 0.340), Sn at (0.000, 0.000, 0.219) and Ge at (0.000, 0.190, 0.500).



Entry b
First-principles (GGA-PBE) data for an optimized crystal structure of DyEr2Cu4Sn2Ge2, as listed in OQMD via LeMat-Bulk.

The space group is Immm (No. 71) and the conventional cell measures 4.273, 6.947 and 14.281 Å, with angles of 90.00, 90.00 and 90.00 degrees. Symmetry generates all atoms from Dy at (0.000, 0.000, 0.000), Er at (0.000, 0.500, 0.136), Cu at (0.000, 0.312, 0.323), Sn at (0.000, 0.201, 0.500) and Ge at (0.000, 0.000, 0.217).



Relative to the most stable structure, the computed energies are entry a 0; entry b 63, all in meV/atom.



Entry a
First-principles (GGA-PBE) data for an optimized crystal structure of DyEr2Cu4Si2Sn2, as listed in OQMD via LeMat-Bulk.

The space group is Immm (No. 71) and the conventional cell measures 4.208, 6.865 and 14.150 Å, with angles of 90.00, 90.00 and 90.00 degrees. Symmetry generates all atoms from Dy at (0.000, 0.000, 0.000), Er at (0.000, 0.500, 0.135), Cu at (0.000, 0.311, 0.319), Si at (0.000, 0.000, 0.217) and Sn at (0.000, 0.202, 0.500).



Entry b
First-principles (GGA-PBE) data for an optimized crystal structure of DyEr2Cu4Si2Sn2, as listed in OQMD via LeMat-Bulk.

The space group is Immm (No. 71) and the conventional cell measures 4.295, 6.616 and 14.330 Å, with angles of 90.00, 90.00 and 90.00 degrees. Symmetry generates all atoms from Dy at (0.000, 0.000, 0.000), Er at (0.000, 0.500, 0.123), Cu at (0.000, 0.309, 0.346), Si at (0.000, 0.182, 0.500) and Sn at (0.000, 0.000, 0.219).



Relative to the most stable structure, the computed energies are entry a 70; entry b 0, all in meV/atom.



Entry a
First-principles (GGA-PBE) data for an optimized crystal structure of GdDy2Cu4Sn2Ge2, as listed in OQMD via LeMat-Bulk.

The space group is Immm (No. 71) and the conventional cell measures 4.347, 6.727 and 14.514 Å, with angles of 90.00, 90.00 and 90.00 degrees. Symmetry generates all atoms from Gd at (0.000, 0.000, 0.000), Dy at (0.000, 0.500, 0.125), Cu at (0.000, 0.310, 0.341), Sn at (0.000, 0.000, 0.218) and Ge at (0.000, 0.190, 0.500).



Entry b
First-principles (GGA-PBE) data for an optimized crystal structure of GdDy2Cu4Sn2Ge2, as listed in OQMD via LeMat-Bulk.

The space group is Immm (No. 71) and the conventional cell measures 4.298, 6.949 and 14.316 Å, with angles of 90.00, 90.00 and 90.00 degrees. Symmetry generates all atoms from Gd at (0.000, 0.000, 0.000), Dy at (0.000, 0.500, 0.135), Cu at (0.000, 0.312, 0.323), Sn at (0.000, 0.201, 0.500) and Ge at (0.000, 0.000, 0.217).



Relative to the most stable structure, the computed energies are entry a 0; entry b 68, all in meV/atom.



Entry a
First-principles (GGA-PBE) data for an optimized crystal structure of DyHo2Cu4Sn2Ge2, as listed in OQMD via LeMat-Bulk.

The space group is Immm (No. 71) and the conventional cell measures 4.340, 6.703 and 14.452 Å, with angles of 90.00, 90.00 and 90.00 degrees. Symmetry generates all atoms from Dy at (0.000, 0.000, 0.000), Ho at (0.000, 0.500, 0.125), Cu at (0.000, 0.310, 0.341), Sn at (0.000, 0.000, 0.218) and Ge at (0.000, 0.190, 0.500).



Entry b
First-principles (GGA-PBE) data for an optimized crystal structure of DyHo2Cu4Sn2Ge2, as listed in OQMD via LeMat-Bulk.

The space group is Immm (No. 71) and the conventional cell measures 4.281, 6.932 and 14.279 Å, with angles of 90.00, 90.00 and 90.00 degrees. Symmetry generates all atoms from Dy at (0.000, 0.000, 0.000), Ho at (0.000, 0.500, 0.136), Cu at (0.000, 0.312, 0.323), Sn at (0.000, 0.201, 0.500) and Ge at (0.000, 0.000, 0.217).



Relative to the most stable structure, the computed energies are entry a 0; entry b 64, all in meV/atom.



Entry a
First-principles (GGA-PBE) data for an optimized crystal structure of Nd2DyCu4Sn2Ge2, as listed in OQMD via LeMat-Bulk.

The space group is Immm (No. 71) and the conventional cell measures 4.414, 6.908 and 14.670 Å, with angles of 90.00, 90.00 and 90.00 degrees. Symmetry generates all atoms from Nd at (0.000, 0.000, 0.137), Dy at (0.000, 0.500, 0.000), Cu at (0.000, 0.184, 0.326), Sn at (0.000, 0.295, 0.500) and Ge at (0.000, 0.500, 0.215).



Entry b
First-principles (GGA-PBE) data for an optimized crystal structure of Nd2DyCu4Sn2Ge2, as listed in OQMD via LeMat-Bulk.

The space group is Immm (No. 71) and the conventional cell measures 4.461, 6.726 and 14.686 Å, with angles of 90.00, 90.00 and 90.00 degrees. Symmetry generates all atoms from Nd at (0.000, 0.000, 0.127), Dy at (0.000, 0.500, 0.000), Cu at (0.000, 0.187, 0.341), Sn at (0.000, 0.500, 0.216) and Ge at (0.000, 0.307, 0.500).



Relative to the most stable structure, the computed energies are entry a 72; entry b 0, all in meV/atom.



Entry a
First-principles (GGA-PBE) data for an optimized crystal structure of NdDy2Cu4Sn2Ge2, as listed in OQMD via LeMat-Bulk.

The space group is Immm (No. 71) and the conventional cell measures 4.312, 7.052 and 14.421 Å, with angles of 90.00, 90.00 and 90.00 degrees. Symmetry generates all atoms from Nd at (0.000, 0.000, 0.000), Dy at (0.000, 0.500, 0.136), Cu at (0.000, 0.314, 0.324), Sn at (0.000, 0.197, 0.500) and Ge at (0.000, 0.000, 0.218).



Entry b
First-principles (GGA-PBE) data for an optimized crystal structure of NdDy2Cu4Sn2Ge2, as listed in OQMD via LeMat-Bulk.

The space group is Immm (No. 71) and the conventional cell measures 4.359, 6.783 and 14.552 Å, with angles of 90.00, 90.00 and 90.00 degrees. Symmetry generates all atoms from Nd at (0.000, 0.000, 0.000), Dy at (0.000, 0.500, 0.125), Cu at (0.000, 0.310, 0.339), Sn at (0.000, 0.000, 0.219) and Ge at (0.000, 0.187, 0.500).



Relative to the most stable structure, the computed energies are entry a 73; entry b 0, all in meV/atom.